Record 1
# Mn2TcSe, relaxed, DFT GGA-PBE
# energy relative to the elements, uncorrected	0.9	eV per formula unit
data_Mn2TcSe
_chemical_formula_sum 'Mn2 Tc1 Se1'
_cell_length_a 2.887
_cell_length_b 2.887
_cell_length_c 6.205
_cell_angle_alpha 90.00
_cell_angle_beta 90.00
_cell_angle_gamma 90.00
_space_group_name_H-M_alt 'P 1'
_space_group_IT_number 1
_space_group_name_Hall 'P 1'
loop_
_atom_site_label
_atom_site_fract_x
_atom_site_fract_y
_atom_site_fract_z
Mn1 0.000 0.000 0.005
Mn2 0.500 0.500 0.255
Se1 0.000 0.000 0.474
Tc1 0.500 0.500 0.766

=====

Record 2
# Mn2CI, relaxed, DFT GGA-PBE
# energy relative to the elements, uncorrected	6.4	eV per formula unit
data_Mn2CI
_chemical_formula_sum 'Mn2 C1 I1'
_cell_length_a 4.112
_cell_length_b 4.112
_cell_length_c 4.112
_cell_angle_alpha 60.00
_cell_angle_beta 60.00
_cell_angle_gamma 60.00
_space_group_name_H-M_alt 'P 1'
_space_group_IT_number 1
_space_group_name_Hall 'P 1'
loop_
_atom_site_label
_atom_site_fract_x
_atom_site_fract_y
_atom_site_fract_z
I1 0.500 0.500 0.500
C1 0.000 0.000 0.000
Mn1 0.250 0.250 0.250
Mn2 0.750 0.750 0.750

=====

Record 3
# BaNd2Se4, relaxed, DFT GGA-PBE
# energy relative to the elements, uncorrected	-13.8	eV per formula unit
# energy above the most stable polymorph in this dataset	0	meV per atom
data_BaNd2Se4
_chemical_formula_sum 'Ba4 Nd8 Se16'
_cell_length_a 4.352
_cell_length_b 12.964
_cell_length_c 15.616
_cell_angle_alpha 90.00
_cell_angle_beta 90.00
_cell_angle_gamma 90.00
_space_group_name_H-M_alt 'P 1'
_space_group_IT_number 1
_space_group_name_Hall 'P 1'
loop_
_atom_site_label
_atom_site_fract_x
_atom_site_fract_y
_atom_site_fract_z
Ba1 0.250 0.756 0.338
Ba2 0.750 0.244 0.662
Ba3 0.250 0.256 0.162
Ba4 0.750 0.744 0.838
Nd1 0.750 0.074 0.893
Nd2 0.250 0.926 0.107
Nd3 0.750 0.574 0.607
Nd4 0.250 0.426 0.393
Nd5 0.250 0.423 0.898
Nd6 0.750 0.577 0.102
Nd7 0.250 0.923 0.602
Nd8 0.750 0.077 0.398
Se1 0.750 0.081 0.081
Se2 0.250 0.919 0.919
Se3 0.750 0.581 0.419
Se4 0.250 0.419 0.581
Se5 0.750 0.981 0.717
Se6 0.250 0.019 0.283
Se7 0.750 0.481 0.783
Se8 0.250 0.519 0.217
Se9 0.750 0.367 0.023
Se10 0.250 0.633 0.977
Se11 0.750 0.867 0.477
Se12 0.250 0.133 0.523
Se13 0.250 0.210 0.826
Se14 0.750 0.790 0.174
Se15 0.250 0.710 0.674
Se16 0.750 0.290 0.326

=====

Record 4
# KBeNi2, relaxed, DFT GGA-PBE
# energy relative to the elements	1.0868	eV/atom
data_KBeNi2
_chemical_formula_sum 'K1 Be1 Ni2'
_cell_length_a 4.434
_cell_length_b 4.434
_cell_length_c 4.434
_cell_angle_alpha 60.00
_cell_angle_beta 60.00
_cell_angle_gamma 60.00
_space_group_name_H-M_alt 'P 1'
_space_group_IT_number 1
_space_group_name_Hall 'P 1'
loop_
_atom_site_label
_atom_site_fract_x
_atom_site_fract_y
_atom_site_fract_z
Ni1 0.000 0.000 0.000
Ni2 0.250 0.250 0.250
K1 0.750 0.750 0.750
Be1 0.500 0.500 0.500

=====

Record 5
# Li4Ce3Si4, relaxed, DFT GGA-PBE
# energy relative to the elements, uncorrected	-5.4	eV per formula unit
data_Li4Ce3Si4
_chemical_formula_sum 'Li4 Ce3 Si4'
_cell_length_a 4.400
_cell_length_b 6.662
_cell_length_c 8.226
_cell_angle_alpha 113.89
_cell_angle_beta 105.51
_cell_angle_gamma 90.00
_space_group_name_H-M_alt 'P 1'
_space_group_IT_number 1
_space_group_name_Hall 'P 1'
loop_
_atom_site_label
_atom_site_fract_x
_atom_site_fract_y
_atom_site_fract_z
Li1 0.330 0.140 0.660
Li2 0.670 0.480 0.340
Li3 0.670 0.860 0.340
Li4 0.330 0.520 0.660
Ce1 0.131 0.131 0.261
Ce2 0.869 0.869 0.739
Ce3 0.000 0.500 0.000
Si1 0.213 0.713 0.426
Si2 0.787 0.287 0.574
Si3 0.500 0.820 0.000
Si4 0.500 0.180 0.000

=====

Record 6
# CsIn2SbCl, relaxed, DFT GGA-PBE
# energy relative to the elements, uncorrected	-0.7	eV per formula unit
data_CsIn2SbCl
_chemical_formula_sum 'Cs1 In2 Sb1 Cl1'
_cell_length_a 5.857
_cell_length_b 6.256
_cell_length_c 5.857
_cell_angle_alpha 90.00
_cell_angle_beta 90.00
_cell_angle_gamma 90.00
_space_group_name_H-M_alt 'P 1'
_space_group_IT_number 1
_space_group_name_Hall 'P 1'
loop_
_atom_site_label
_atom_site_fract_x
_atom_site_fract_y
_atom_site_fract_z
Cs1 0.000 0.500 0.000
Sb1 0.500 0.500 0.500
Cl1 0.000 0.000 0.000
In1 0.000 0.000 0.500
In2 0.500 0.000 0.000